Entry 1:
Sr2RuAu (PBEsol, relaxed); N(E_F) = 3.80 states/eV/f.u.; V = 99 Å³/f.u.; formation energy from the elements = 0.145 eV/atom
1.0
3.583 0.000 0.000
0.000 4.975 0.000
0.000 0.000 11.079
Sr Ru Au
4 2 2
direct
0.000 0.000 0.000
0.000 0.500 0.210
0.500 0.000 0.710
0.500 0.500 0.500
0.000 0.000 0.452
0.500 0.500 0.952
0.000 0.500 0.774
0.500 0.000 0.274

Entry 2:
CsS (PBEsol, relaxed); N(E_F) = 1.78 states/eV/f.u.; V = 68 Å³/f.u.; formation energy (no corrections) = -0.883 eV/f.u.
1.0
4.074 0.000 0.000
0.000 4.074 0.000
0.000 0.000 4.074
Cs S
1 1
direct
0.000 0.000 0.000
0.500 0.500 0.500

Entry 3:
Tl2CrMo (PBEsol, relaxed); N(E_F) = 3.36 states/eV/f.u.; V = 77 Å³/f.u.; formation energy from the elements = 0.999 eV/atom; ΔE to the lowest computed polymorph = 160 meV per atom
1.0
6.754 0.000 0.000
0.000 6.754 0.000
0.000 0.000 6.754
Tl Cr Mo
8 4 4
direct
0.000 0.000 0.000
0.000 0.500 0.500
0.250 0.250 0.250
0.250 0.750 0.750
0.500 0.000 0.500
0.500 0.500 0.000
0.750 0.250 0.750
0.750 0.750 0.250
0.000 0.000 0.500
0.000 0.500 0.000
0.500 0.000 0.000
0.500 0.500 0.500
0.250 0.250 0.750
0.250 0.750 0.250
0.750 0.250 0.250
0.750 0.750 0.750

Entry 4:
CaCd2Pd2 (PBEsol, relaxed); N(E_F) = 1.74 states/eV/f.u.; V = 105 Å³/f.u.; formation energy from the elements = -0.418 eV/atom; ΔE to the lowest computed polymorph = 21 meV per atom
1.0
4.130 0.000 0.000
0.000 4.130 0.000
0.000 0.000 12.267
Ca Cd Pd
2 4 4
direct
0.000 0.000 0.000
0.500 0.500 0.500
0.000 0.500 0.250
0.000 0.500 0.750
0.500 0.000 0.250
0.500 0.000 0.750
0.000 0.000 0.396
0.000 0.000 0.604
0.500 0.500 0.104
0.500 0.500 0.896

Entry 5:
YGe2Te2 (PBEsol, relaxed); N(E_F) = 1.78 states/eV/f.u.; V = 126 Å³/f.u.; formation energy (no corrections) = -2.240 eV/f.u.
1.0
3.819 0.000 0.000
0.000 3.819 0.000
0.000 0.000 17.288
Y Ge Te
2 4 4
direct
0.000 0.000 0.000
0.500 0.500 0.500
0.000 0.500 0.250
0.000 0.500 0.750
0.500 0.000 0.250
0.500 0.000 0.750
0.000 0.000 0.403
0.000 0.000 0.597
0.500 0.500 0.097
0.500 0.500 0.903

Entry 6:
LiBeAg2 (PBEsol, relaxed); N(E_F) = 1.20 states/eV/f.u.; V = 54 Å³/f.u.; formation energy from the elements = -0.006 eV/atom
1.0
9.259 0.000 0.000
0.000 2.848 0.000
-1.341 0.000 4.095
Li Be Ag
2 2 4
direct
0.000 0.000 0.000
0.500 0.500 0.000
0.256 0.000 0.659
0.756 0.500 0.659
0.030 0.500 0.527
0.259 0.500 0.176
0.530 0.000 0.527
0.759 0.000 0.176